PBE Ag2GeS3, optimized geometry; space-group type = Imm2; E_form (uncorrected) = -0.20 eV per atom; energy = -3.98 eV per atom; calculated volume = 137.6 Å³/f.u.; total moment = 0.00 Bohr magnetons per cell
1.0
-1.9292 5.9365 3.0030
1.9292 -5.9365 3.0030
1.9292 5.9365 -3.0030
Ag Ge S
2 1 3
direct
0.1595 0.0000 0.1595
0.8405 0.0000 0.8405
0.4697 0.9697 0.5000
0.1198 0.7776 0.3423
0.4353 0.7776 0.6577
0.7088 0.7088 0.0000